Entry from Alexandria: crystalline Bi2BPd2 at its relaxed geometry (PBE).

Lattice parameters (Å, degrees): 6.0272 6.0272 5.5191 90.00 90.00 90.00
Closest atoms and distances in Å follow each position.
Sites, in units of the cell vectors:
Bi1 0.1896 0.3104 0.0000  2 Pd 2.96, 5 Bi 3.10-3.23
Bi2 0.3104 0.8104 0.0000  2 Pd 2.96, 5 Bi 3.10-3.23
Bi3 0.6896 0.1896 0.0000  2 Pd 2.96, 5 Bi 3.10-3.23
Bi4 0.8104 0.6896 0.0000  2 Pd 2.96, 5 Bi 3.10-3.23
B1 0.0000 0.0000 0.5000  4 Pd 2.20
B2 0.5000 0.5000 0.5000  4 Pd 2.20
Pd1 0.1848 0.6848 0.5000  2 B 2.20
Pd2 0.3152 0.1848 0.5000  2 B 2.20
Pd3 0.6848 0.8152 0.5000  2 B 2.20
Pd4 0.8152 0.3152 0.5000  2 B 2.20

electronic total energy = -4.80 eV/atom
DOS(E_F) = 2.0 states/eV/f.u.
energy of formation from the pure elements = 168.8 meV/atom